Entry from the Alexandria database: crystalline SrCaMo at its relaxed geometry (PBE).

The structure in extended XYZ format:
```
3
Lattice="3.5486 0.0000 0.0000 -1.7743 3.0732 0.0000 0.0000 0.0000 8.3456" Properties=species:S:1:pos:R:3 pbc="T T T"
Sr 0.0000 2.0488 5.1470
Mo 1.7743 1.0244 2.7339
Ca 0.0000 0.0000 0.4647
```

Calculated values
E_form in kJ per mole of atoms: 95
Mass density in Mg/m³: 4.1
Polymorph energy (0 for the lowest one) in eV per atom: 0.0847
Total magnetization in Bohr magnetons per cell: 1.540
VASP energy in eV for the cell shown: -11.56

***

Entry from the Alexandria database: crystalline MgZnO at its relaxed geometry (PBE).

The structure in extended XYZ format:
```
6
Lattice="2.8337 0.0000 -0.0044 0.0000 5.5231 0.0000 -1.3650 0.0000 5.4613" Properties=species:S:1:pos:R:3 pbc="T T T"
Zn 2.1439 4.0223 0.1475
Zn -0.6752 1.2608 5.3094
O 2.1501 4.0112 2.3189
O -0.6814 1.2497 3.1380
Mg 0.7342 5.3896 2.7354
Mg 0.7345 2.6280 2.7216
```

Calculated values
Mass density in Mg/m³: 4.1
Polymorph energy (0 for the lowest one) in eV per atom: 0.0000
Energy relative to the elements, uncorrected in eV/f.u.: -4.3
Total magnetization in Bohr magnetons per cell: 0.000
VASP energy in eV for the cell shown: -24.23